(1)
Below is a relaxed structure of Be2FeAs, with properties calculated at the GGA-PBE level.

The structure belongs to space group F-43m (No. 216); the cell edges are 5.498, 5.498 and 5.498 Å and the angles 90.00°, 90.00° and 90.00°. The distinct sites, in fractional coordinates, are Be at (0.000, 0.000, 0.000), Be at (0.250, 0.250, 0.250), Fe at (0.250, 0.250, 0.750) and As at (0.000, 0.000, 0.500).

The value obtained for the total DFT energy (no corrections) is -4.885 eV per atom. Its density of states at the Fermi level is 0.4447 states/eV/atom. The magnetization comes out at 0.000 μB per formula unit. The excess energy over the best structure of this formula in the dataset comes out at 24.2 kJ per mole of atoms.

=====

(2)
Below is a relaxed structure of Li2CoSe, with properties calculated at the GGA-PBE level.

The structure belongs to space group I4/mmm (No. 139); the cell edges are 3.580, 3.580 and 8.129 Å and the angles 90.00°, 90.00° and 90.00°. The distinct sites, in fractional coordinates, are Li at (0.000, 0.500, 0.250), Co at (0.000, 0.000, 0.000) and Se at (0.000, 0.000, 0.500).

The value obtained for the total DFT energy (no corrections) is -3.836 eV per atom. Its density of states at the Fermi level is 0.5403 states/eV/atom. The magnetization comes out at 0.553 μB per formula unit. The formation energy without anion corrections comes out at -231.0 meV per atom.

=====

(3)
Below is a relaxed structure of Ho2GaTe6Pb3, with properties calculated at the GGA-PBE level.

The structure belongs to space group C2/m (No. 12); the cell edges are 19.778, 4.458 and 9.262 Å and the angles 90.00°, 104.45° and 90.00°. The distinct sites, in fractional coordinates, are Ho at (0.167, 0.000, 0.343), Ga at (0.000, 0.500, 0.000), Te at (0.008, 0.000, 0.247), Te at (0.168, 0.500, 0.109), Te at (0.171, 0.500, 0.580), Pb at (0.000, 0.500, 0.500) and Pb at (0.160, 0.000, 0.847).

The value obtained for the total DFT energy (no corrections) is -4.189 eV per atom. Its density of states at the Fermi level is 0.3686 states/eV/atom. The magnetization comes out at 0.000 μB per formula unit. The formation energy without anion corrections comes out at -676.0 meV per atom.

=====

(4)
Below is a relaxed structure of LaTaMo2, with properties calculated at the GGA-PBE level.

The structure belongs to space group R3m (No. 160, hexagonal axes); the cell edges are 3.1020, 3.1020 and 29.0534 Å and the angles 90.00°, 90.00° and 120.00°. The distinct sites, in fractional coordinates, are La at (0.0000, 0.0000, 0.0000), Ta at (0.0000, 0.0000, 0.2337), Mo at (0.0000, 0.0000, 0.4935) and Mo at (0.0000, 0.0000, 0.7609).

The value obtained for the total DFT energy (no corrections) is -9.081 eV per atom. Its density of states at the Fermi level is 1.0195 states/eV/atom. The magnetization comes out at 0.000 μB per formula unit. The excess energy over the best structure of this formula in the dataset comes out at 23.2 kJ per mole of atoms.

=====

(5)
Below is a relaxed structure of Pr2AgBr, with properties calculated at the GGA-PBE level.

The structure belongs to space group P4/mmm (No. 123); the cell edges are 3.589, 3.589 and 8.494 Å and the angles 90.00°, 90.00° and 90.00°. The distinct sites, in fractional coordinates, are Pr at (0.000, 0.000, 0.235), Ag at (0.500, 0.500, 0.000) and Br at (0.500, 0.500, 0.500).

The value obtained for the total DFT energy (no corrections) is -4.135 eV per atom. Its density of states at the Fermi level is 1.0446 states/eV/atom. The magnetization comes out at 0.001 μB per formula unit. The excess energy over the best structure of this formula in the dataset comes out at 3.1 kJ per mole of atoms. The formation energy without anion corrections comes out at -613.9 meV per atom.

=====

(6)
Below is a relaxed structure of LaPm2Hg2, with properties calculated at the GGA-PBE level.

The structure belongs to space group P-3m1 (No. 164); the cell edges are 5.3698, 5.3698 and 6.4672 Å and the angles 90.00°, 90.00° and 120.00°. The distinct sites, in fractional coordinates, are La at (0.0000, 0.0000, 0.0000), Pm at (0.3333, 0.6667, 0.6553) and Hg at (0.3333, 0.6667, 0.1681).

The value obtained for the total DFT energy (no corrections) is -3.255 eV per atom. Its density of states at the Fermi level is 1.4398 states/eV/atom. The magnetization comes out at 1.081 μB per formula unit. The excess energy over the best structure of this formula in the dataset comes out at 13.1 kJ per mole of atoms.

=====

(7)
Below is a relaxed structure of Mg5C3, with properties calculated at the GGA-PBE level.

The structure belongs to space group Cm (No. 8); the cell edges are 5.280, 12.567 and 6.810 Å and the angles 90.00°, 112.72° and 90.00°. The distinct sites, in fractional coordinates, are Mg at (0.000, 0.000, 0.000), Mg at (0.000, 0.500, 0.000), Mg at (0.068, 0.108, 0.391), Mg at (0.176, 0.392, 0.609), Mg at (0.264, 0.195, 0.785), Mg at (0.479, 0.195, 0.215), C at (0.075, 0.000, 0.697), C at (0.225, 0.348, 0.000), C at (0.364, 0.250, 0.500) and C at (0.377, 0.000, 0.303).

The value obtained for the total DFT energy (no corrections) is -3.868 eV per atom. Its density of states at the Fermi level is 0.5842 states/eV/atom. The magnetization comes out at 0.860 μB per formula unit. The excess energy over the best structure of this formula in the dataset comes out at 1.9 kJ per mole of atoms.

=====

(8)
Below is a relaxed structure of AlSiTe3, with properties calculated at the GGA-PBE level.

The structure belongs to space group Pm-3m (No. 221); the cell edges are 5.290, 5.290 and 5.290 Å and the angles 90.00°, 90.00° and 90.00°. The distinct sites, in fractional coordinates, are Al at (0.000, 0.000, 0.000), Si at (0.500, 0.500, 0.500) and Te at (0.000, 0.000, 0.500).

The value obtained for the total DFT energy (no corrections) is -3.150 eV per atom. Its density of states at the Fermi level is 0.7690 states/eV/atom. The magnetization comes out at 0.000 μB per formula unit. The excess energy over the best structure of this formula in the dataset comes out at 80.8 kJ per mole of atoms. The formation energy without anion corrections comes out at 568.6 meV per atom.

=====

(9)
Below is a relaxed structure of LiDy2Sc, with properties calculated at the GGA-PBE level.

The structure belongs to space group R-3m (No. 166, hexagonal axes); the cell edges are 3.3708, 3.3708 and 35.4182 Å and the angles 90.00°, 90.00° and 120.00°. The distinct sites, in fractional coordinates, are Li at (0.0000, 0.0000, 0.0000), Dy at (0.0000, 0.0000, 0.0910) and Sc at (0.0000, 0.0000, 0.5000).

The value obtained for the total DFT energy (no corrections) is -4.193 eV per atom. Its density of states at the Fermi level is 1.2563 states/eV/atom. The magnetization comes out at 0.000 μB per formula unit. The excess energy over the best structure of this formula in the dataset comes out at 8.1 kJ per mole of atoms.